one | Computed, not measured: crystalline CdAg2Rh2 at its relaxed geometry at the PBE-GGA level of DFT.

Results
- total moment (μB per atom) = 0.242

Lattice parameters (Å, degrees): 3.6068 3.6068 7.5912 76.26 76.26 90.00
Last column: magnetic moment on the atom in μB.
Atoms (fractional coordinates):
Rh (0.7500, 0.2500, 0.5000)  0.60
Rh (0.2500, 0.7500, 0.5000)  0.60
Ag (0.4015, 0.4015, 0.1971)  0.00
Ag (0.5985, 0.5985, 0.8029)  0.00
Cd (0.0000, 0.0000, 0.0000)  -0.01

two | Computed, not measured: crystalline CdAg2Rh2 at its relaxed geometry at the PBE-GGA level of DFT.

Results
- total moment (μB per atom) = 0.000

Lattice parameters (Å, degrees): 7.7938 7.7938 2.9039 90.00 90.00 90.00
Atoms (fractional coordinates):
Rh (0.1684, 0.6684, 0.5000)
Rh (0.6684, 0.8316, 0.5000)
Rh (0.8316, 0.3316, 0.5000)
Rh (0.3316, 0.1684, 0.5000)
Ag (0.3712, 0.8712, 0.0000)
Ag (0.8712, 0.6288, 0.0000)
Ag (0.6288, 0.1288, 0.0000)
Ag (0.1288, 0.3712, 0.0000)
Cd (0.0000, 0.0000, 0.0000)
Cd (0.5000, 0.5000, 0.0000)

three | Computed, not measured: crystalline CdAg2Rh2 at its relaxed geometry at the PBE-GGA level of DFT.

Results
- total moment (μB per atom) = 0.301

Lattice parameters (Å, degrees): 7.0039 7.0039 3.6982 90.00 90.00 90.00
Last column: magnetic moment on the atom in μB.
Atoms (fractional coordinates):
Rh (0.3726, 0.8726, 0.0000)  0.69
Rh (0.8726, 0.6274, 0.0000)  0.69
Rh (0.6274, 0.1274, 0.0000)  0.69
Rh (0.1274, 0.3726, 0.0000)  0.69
Ag (0.1696, 0.6696, 0.5000)  0.06
Ag (0.6696, 0.8304, 0.5000)  0.06
Ag (0.8304, 0.3304, 0.5000)  0.06
Ag (0.3304, 0.1696, 0.5000)  0.06
Cd (0.0000, 0.0000, 0.0000)  -0.01
Cd (0.5000, 0.5000, 0.0000)  -0.01

The structure with the least stability is two.

one | Computed, not measured: crystalline Cd3AgRh at its relaxed geometry at the PBE-GGA level of DFT.

Results
- total moment (μB per atom) = 0.000

Lattice parameters (Å, degrees): 4.2276 5.8962 7.8257 82.28 105.80 89.98
Atoms (fractional coordinates):
Cd (0.0240, 0.5548, 0.0817)
Cd (0.4202, 0.3286, 0.8731)
Cd (0.6237, 0.2499, 0.2810)
Cd (0.0199, 0.0237, 0.0724)
Cd (0.2227, 0.9319, 0.4791)
Cd (0.8213, 0.6465, 0.6750)
Ag (0.2234, 0.4414, 0.4798)
Ag (0.8206, 0.1369, 0.6743)
Rh (0.4192, 0.8307, 0.8700)
Rh (0.6249, 0.7479, 0.2841)

two | Computed, not measured: crystalline Cd3AgRh at its relaxed geometry at the PBE-GGA level of DFT.

Results
- total moment (μB per atom) = 0.000

Lattice parameters (Å, degrees): 9.3608 7.4470 7.4470 70.17 59.58 59.58
Atoms (fractional coordinates):
Cd (0.5653, 0.7568, 0.0873)
Cd (0.9347, 0.9127, 0.2432)
Cd (0.4347, 0.2432, 0.9127)
Cd (0.0653, 0.0873, 0.7568)
Cd (0.9223, 0.3513, 0.0706)
Cd (0.5777, 0.9294, 0.6487)
Cd (0.0777, 0.6487, 0.9294)
Cd (0.4223, 0.0706, 0.3513)
Cd (0.4304, 0.6508, 0.6566)
Cd (0.0696, 0.3434, 0.3492)
Cd (0.5696, 0.3492, 0.3434)
Cd (0.9304, 0.6566, 0.6508)
Ag (0.6919, 0.4379, 0.8379)
Ag (0.8081, 0.1621, 0.5621)
Ag (0.3081, 0.5621, 0.1621)
Ag (0.1919, 0.8379, 0.4379)
Rh (0.2500, 0.9959, 0.0041)
Rh (0.7500, 0.0041, 0.9959)
Rh (0.2500, 0.3355, 0.6645)
Rh (0.7500, 0.6645, 0.3355)

The structure with the least stability is two.

one | Computed, not measured: crystalline Cd6Ag3Rh at its relaxed geometry at the PBE-GGA level of DFT.

Results
- total moment (μB per atom) = 0.000

Lattice parameters (Å, degrees): 8.3562 7.1959 7.3916 90.00 70.48 90.00
Atoms (fractional coordinates):
Cd (0.6732, 0.0140, 0.9856)
Cd (0.6175, 0.1827, 0.6305)
Cd (0.7503, 0.3472, 0.1855)
Cd (0.2497, 0.6528, 0.8145)
Cd (0.3825, 0.8173, 0.3695)
Cd (0.3268, 0.9860, 0.0144)
Cd (0.1732, 0.4860, 0.4856)
Cd (0.1175, 0.3173, 0.1305)
Cd (0.2503, 0.1528, 0.6855)
Cd (0.7497, 0.8472, 0.3145)
Cd (0.8825, 0.6827, 0.8695)
Cd (0.8268, 0.5140, 0.5144)
Ag (0.5898, 0.7901, 0.7141)
Ag (0.5000, 0.5000, 0.0000)
Ag (0.4102, 0.2099, 0.2859)
Ag (0.0898, 0.7099, 0.2141)
Ag (0.0000, 0.0000, 0.5000)
Ag (0.9102, 0.2901, 0.7859)
Rh (0.5000, 0.5000, 0.5000)
Rh (0.0000, 0.0000, 0.0000)

two | Computed, not measured: crystalline Cd6Ag3Rh at its relaxed geometry at the PBE-GGA level of DFT.

Results
- total moment (μB per atom) = 0.000

Lattice parameters (Å, degrees): 4.8061 8.0453 10.9101 113.28 90.00 90.00
Atoms (fractional coordinates):
Cd (0.2500, 0.4701, 0.0733)
Cd (0.7500, 0.5299, 0.9267)
Cd (0.2500, 0.1592, 0.1611)
Cd (0.7500, 0.8408, 0.8389)
Cd (0.2500, 0.6737, 0.6637)
Cd (0.7500, 0.3263, 0.3363)
Cd (0.2500, 0.2469, 0.4807)
Cd (0.7500, 0.7531, 0.5193)
Cd (0.2500, 0.8604, 0.2960)
Cd (0.7500, 0.1396, 0.7040)
Cd (0.2500, 0.0768, 0.8569)
Cd (0.7500, 0.9232, 0.1431)
Ag (0.2500, 0.5522, 0.3716)
Ag (0.7500, 0.4478, 0.6284)
Ag (0.2500, 0.3775, 0.7678)
Ag (0.7500, 0.6225, 0.2322)
Ag (0.2500, 0.7649, 0.9716)
Ag (0.7500, 0.2351, 0.0284)
Rh (0.2500, 0.9637, 0.5748)
Rh (0.7500, 0.0363, 0.4252)

The structure with the least stability is one.

one | Computed, not measured: crystalline CdAg3S at its relaxed geometry at the PBE-GGA level of DFT.

Results
- total moment (μB per atom) = 0.000

Lattice parameters (Å, degrees): 4.9273 4.9273 4.9273 90.00 90.00 90.00
Atoms (fractional coordinates):
S (0.0000, 0.0000, 0.0000)
Ag (0.0000, 0.5000, 0.0000)
Ag (0.0000, 0.0000, 0.5000)
Ag (0.5000, 0.0000, 0.0000)
Cd (0.5000, 0.5000, 0.5000)

two | Computed, not measured: crystalline CdAg3S at its relaxed geometry at the PBE-GGA level of DFT.

Results
- total moment (μB per atom) = 0.000

Lattice parameters (Å, degrees): 5.1375 5.1375 5.1375 90.00 90.00 90.00
Atoms (fractional coordinates):
S (0.5000, 0.5000, 0.5000)
Ag (0.0000, 0.5000, 0.0000)
Ag (0.0000, 0.0000, 0.5000)
Ag (0.5000, 0.0000, 0.0000)
Cd (0.0000, 0.0000, 0.0000)

The structure with the least stability is two.

one | Computed, not measured: crystalline Cd2Ag2S at its relaxed geometry at the PBE-GGA level of DFT.

Results
- total moment (μB per atom) = 0.000

Lattice parameters (Å, degrees): 6.9926 6.9926 4.2364 90.00 90.00 90.00
Atoms (fractional coordinates):
S (0.0000, 0.0000, 0.0000)
S (0.5000, 0.5000, 0.0000)
Ag (0.3548, 0.8548, 0.0000)
Ag (0.8548, 0.6452, 0.0000)
Ag (0.6452, 0.1452, 0.0000)
Ag (0.1452, 0.3548, 0.0000)
Cd (0.1544, 0.6544, 0.5000)
Cd (0.6544, 0.8456, 0.5000)
Cd (0.8456, 0.3456, 0.5000)
Cd (0.3456, 0.1544, 0.5000)

two | Computed, not measured: crystalline Cd2Ag2S at its relaxed geometry at the PBE-GGA level of DFT.

Results
- total moment (μB per atom) = 0.000

Lattice parameters (Å, degrees): 7.1328 7.1328 4.1730 90.00 90.00 90.00
Atoms (fractional coordinates):
S (0.0000, 0.0000, 0.0000)
S (0.5000, 0.5000, 0.0000)
Ag (0.1415, 0.6415, 0.5000)
Ag (0.6415, 0.8585, 0.5000)
Ag (0.8585, 0.3585, 0.5000)
Ag (0.3585, 0.1415, 0.5000)
Cd (0.3486, 0.8486, 0.0000)
Cd (0.8486, 0.6514, 0.0000)
Cd (0.6514, 0.1514, 0.0000)
Cd (0.1514, 0.3486, 0.0000)

The structure with the least stability is two.

one | Computed, not measured: crystalline CdAg2SnS4 at its relaxed geometry at the PBE-GGA level of DFT.

Results
- total moment (μB per atom) = 0.000

Lattice parameters (Å, degrees): 4.0789 6.8264 7.3168 89.54 90.00 90.00
Atoms (fractional coordinates):
Cd (0.0000, 0.1106, 0.1728)
Ag (0.5000, 0.1316, 0.6676)
Ag (0.5000, 0.6492, 0.3113)
Sn (0.0000, 0.6355, 0.8455)
S (0.5000, 0.5104, 0.6697)
S (0.0000, 0.4965, 0.1496)
S (0.5000, 0.0126, 0.3454)
S (0.0000, 0.9888, 0.8381)

two | Computed, not measured: crystalline CdAg2SnS4 at its relaxed geometry at the PBE-GGA level of DFT.

Results
- total moment (μB per atom) = 0.000

Lattice parameters (Å, degrees): 5.7972 5.7972 7.2588 113.52 113.52 90.03
Atoms (fractional coordinates):
Cd (0.0002, 0.0002, 0.0005)
Ag (0.7501, 0.2501, 0.5003)
Ag (0.2501, 0.7501, 0.5003)
Sn (0.4999, 0.4999, 0.9998)
S (0.6178, 0.6178, 0.7560)
S (0.3824, 0.8615, 0.2439)
S (0.8615, 0.3824, 0.2439)
S (0.1382, 0.1382, 0.7560)

The structure with the least stability is one.

one | Computed, not measured: crystalline Cd2AgSb at its relaxed geometry at the PBE-GGA level of DFT.

Results
- total moment (μB per atom) = 0.000

Lattice parameters (Å, degrees): 9.2004 9.2004 9.2004 21.72 21.72 21.72
Atoms (fractional coordinates):
Sb (0.4956, 0.4956, 0.4956)
Ag (0.7487, 0.7487, 0.7487)
Cd (0.0029, 0.0029, 0.0029)
Cd (0.2527, 0.2527, 0.2527)

two | Computed, not measured: crystalline Cd2AgSb at its relaxed geometry at the PBE-GGA level of DFT.

Results
- total moment (μB per atom) = 0.000

Lattice parameters (Å, degrees): 5.8850 5.8850 5.0070 88.61 88.61 32.19
Atoms (fractional coordinates):
Sb (0.2500, 0.2500, 0.2500)
Ag (0.7500, 0.7500, 0.7500)
Cd (0.0011, 0.0011, 0.9936)
Cd (0.4989, 0.4989, 0.5064)

three | Computed, not measured: crystalline Cd2AgSb at its relaxed geometry at the PBE-GGA level of DFT.

Results
- total moment (μB per atom) = 0.000

Lattice parameters (Å, degrees): 5.0822 5.0822 5.0822 60.00 60.00 60.00
Atoms (fractional coordinates):
Sb (0.7500, 0.7500, 0.7500)
Ag (0.5000, 0.5000, 0.5000)
Cd (0.0000, 0.0000, 0.0000)
Cd (0.2500, 0.2500, 0.2500)

four | Computed, not measured: crystalline Cd2AgSb at its relaxed geometry at the PBE-GGA level of DFT.

Results
- total moment (μB per atom) = 0.000

Lattice parameters (Å, degrees): 4.5078 4.4386 4.5456 90.00 90.00 90.00
Atoms (fractional coordinates):
Sb (0.5000, 0.0000, 0.5000)
Ag (0.0000, 0.5000, 0.5000)
Cd (0.0000, 0.0000, 0.0000)
Cd (0.5000, 0.5000, 0.0000)

The structure with the least stability is three.

one | Computed, not measured: crystalline CdAg3Sb at its relaxed geometry at the PBE-GGA level of DFT.

Results
- total moment (μB per atom) = 0.000

Lattice parameters (Å, degrees): 5.5819 5.0619 7.8423 89.99 100.32 89.99
Atoms (fractional coordinates):
Cd (0.5219, 0.4114, 0.6085)
Cd (0.0217, 0.9413, 0.1087)
Ag (0.2239, 0.4300, 0.2555)
Ag (0.4706, 0.1939, 0.9937)
Ag (0.9710, 0.1596, 0.4941)
Ag (0.7237, 0.9226, 0.7556)
Ag (0.9417, 0.4170, 0.8945)
Ag (0.4416, 0.9354, 0.3946)
Sb (0.2201, 0.8147, 0.7513)
Sb (0.7200, 0.5379, 0.2511)

two | Computed, not measured: crystalline CdAg3Sb at its relaxed geometry at the PBE-GGA level of DFT.

Results
- total moment (μB per atom) = 0.000

Lattice parameters (Å, degrees): 5.3221 5.3221 5.3221 90.00 90.00 90.00
Atoms (fractional coordinates):
Sb (0.0000, 0.0000, 0.0000)
Ag (0.0000, 0.5000, 0.0000)
Ag (0.0000, 0.0000, 0.5000)
Ag (0.5000, 0.0000, 0.0000)
Cd (0.5000, 0.5000, 0.5000)

The structure with the least stability is two.

one | Computed, not measured: crystalline Cd2Ag8Sb at its relaxed geometry at the PBE-GGA level of DFT.

Results
- total moment (μB per atom) = 0.000

Lattice parameters (Å, degrees): 4.1764 5.8079 10.0373 72.92 101.73 89.60
Atoms (fractional coordinates):
Cd (0.2080, 0.6739, 0.4126)
Cd (0.7920, 0.3261, 0.5874)
Ag (0.6094, 0.5231, 0.2206)
Ag (0.3581, 0.0011, 0.7174)
Ag (0.2044, 0.1894, 0.4117)
Ag (0.9519, 0.7322, 0.9013)
Ag (0.7956, 0.8106, 0.5883)
Ag (0.6419, 0.9989, 0.2826)
Ag (0.3906, 0.4769, 0.7794)
Ag (0.0481, 0.2678, 0.0987)
Sb (0.5000, 0.0000, 0.0000)

two | Computed, not measured: crystalline Cd2Ag8Sb at its relaxed geometry at the PBE-GGA level of DFT.

Results
- total moment (μB per atom) = 0.000

Lattice parameters (Å, degrees): 5.0998 7.5215 7.5215 58.39 76.92 76.92
Atoms (fractional coordinates):
Cd (0.5372, 0.8551, 0.8551)
Cd (0.4628, 0.1449, 0.1449)
Ag (0.2153, 0.3799, 0.7545)
Ag (0.7847, 0.2455, 0.6201)
Ag (0.0915, 0.7619, 0.7619)
Ag (0.9085, 0.2381, 0.2381)
Ag (0.2153, 0.7545, 0.3799)
Ag (0.7847, 0.6201, 0.2455)
Ag (0.6672, 0.6345, 0.6345)
Ag (0.3328, 0.3655, 0.3655)
Sb (0.0000, 0.0000, 0.0000)

The structure with the least stability is two.

one | Computed, not measured: crystalline CdAgSbTe2 at its relaxed geometry at the PBE-GGA level of DFT.

Results
- total moment (μB per atom) = 0.000

Lattice parameters (Å, degrees): 5.6826 5.6826 5.4208 90.00 90.00 90.00
Atoms (fractional coordinates):
Sb (0.0000, 0.0000, 0.5000)
Te (0.0000, 0.5000, 0.0000)
Te (0.5000, 0.0000, 0.0000)
Ag (0.5000, 0.5000, 0.5000)
Cd (0.0000, 0.0000, 0.0000)

two | Computed, not measured: crystalline CdAgSbTe2 at its relaxed geometry at the PBE-GGA level of DFT.

Results
- total moment (μB per atom) = 0.000

Lattice parameters (Å, degrees): 5.5375 5.2896 5.5375 90.00 90.00 90.00
Atoms (fractional coordinates):
Sb (0.0000, 0.5000, 0.0000)
Te (0.0000, 0.0000, 0.5000)
Te (0.5000, 0.0000, 0.0000)
Ag (0.0000, 0.0000, 0.0000)
Cd (0.5000, 0.5000, 0.5000)

The structure with the least stability is one.